# CaScV2O8 PBE+U relaxed
data_CaScV2O8
_cell_length_a 5.9314
_cell_length_b 5.9314
_cell_length_c 5.9314
_cell_angle_alpha 106.30
_cell_angle_beta 106.30
_cell_angle_gamma 116.02
_symmetry_space_group_name_H-M 'P 1'
_symmetry_Int_Tables_number 1
loop_
_symmetry_equiv_pos_as_xyz
'x,y,z'
loop_
_atom_site_label
_atom_site_type_symbol
_atom_site_fract_x
_atom_site_fract_y
_atom_site_fract_z
Ca1 Ca 0.0000 0.0000 0.0000
Sc1 Sc 0.7500 0.2500 0.5000
V1 V 0.2500 0.7500 0.5000
V2 V 0.5000 0.5000 0.0000
O1 O 0.0665 0.3846 0.3181
O2 O 0.0665 0.7484 0.6819
O3 O 0.1386 0.3367 0.8018
O4 O 0.2516 0.9335 0.3181
O5 O 0.5349 0.3367 0.1982
O6 O 0.6154 0.9335 0.6819
O7 O 0.6633 0.4651 0.8018
O8 O 0.6633 0.8614 0.1982
# **E**: -7.54 eV/atom